Entry a
VASP calculation (GGA-PBE) on a geometry-optimized DyPuIn4 structure.

Geometry as POSCAR:
```
DyPuIn4
1.0
3.4517 0.0000 0.0000
0.0000 5.0441 0.0000
-0.0018 0.0000 8.8214
Dy Pu In
1 1 4
Cartesian
0.0000 0.0000 0.0000
-0.0009 2.5220 4.4107
1.7171 0.0000 2.9262
1.7174 2.5220 7.3689
1.7328 0.0000 5.8952
1.7325 2.5220 1.4525
```

Computed properties:
- Symmetry: P2/m, No. 10
- Theoretical density: 9.36 g/cm3


Entry b
VASP calculation (GGA-PBE) on a geometry-optimized DyPuIn4 structure.

Geometry as POSCAR:
```
DyPuIn4
1.0
0.0000 4.2598 4.2598
4.2598 0.0000 4.2598
4.2598 4.2598 0.0000
Dy Pu In
1 1 4
Cartesian
0.0000 0.0000 0.0000
2.1299 2.1299 2.1299
5.3244 3.1952 3.1952
3.1952 5.3244 3.1952
3.1952 3.1952 5.3244
5.3244 5.3244 5.3244
```

Computed properties:
- Symmetry: F-43m, No. 216
- Theoretical density: 9.30 g/cm3


Preferred: entry a; penalty for the next structure: 0.079 eV/atom.


Entry a
VASP calculation (GGA-PBE) on a geometry-optimized DyPuIn structure.

Geometry as POSCAR:
```
DyPuIn
1.0
-1.6775 1.6775 7.3387
1.6775 -1.6775 7.3387
1.6775 1.6775 -7.3387
Dy Pu In
1 1 1
Cartesian
0.0000 0.0000 0.0000
0.0000 0.0000 10.0303
0.0000 0.0000 5.0338
```

Computed properties:
- Symmetry: I4mm, No. 107
- Theoretical density: 10.48 g/cm3


Entry b
VASP calculation (GGA-PBE) on a geometry-optimized DyPuIn structure.

Geometry as POSCAR:
```
DyPuIn
1.0
5.3172 0.0000 0.0000
-2.6586 4.6049 0.0000
0.0000 0.0000 3.3300
Dy Pu In
1 1 1
Cartesian
0.0000 0.0000 0.0000
2.6586 1.5350 2.0214
0.0000 3.0699 0.9628
```

Computed properties:
- Symmetry: P3m1, No. 156
- Theoretical density: 10.62 g/cm3


Entry c
VASP calculation (GGA-PBE) on a geometry-optimized DyPuIn structure.

Geometry as POSCAR:
```
DyPuIn
1.0
-1.5785 1.5785 8.8513
1.5785 -1.5785 8.8513
1.5785 1.5785 -8.8513
Dy Pu In
1 1 1
Cartesian
0.0000 0.0000 0.0000
0.0000 0.0000 14.4792
0.0000 0.0000 11.3081
```

Computed properties:
- Symmetry: I4mm, No. 107
- Theoretical density: 9.81 g/cm3


Preferred: entry a; penalty for the next structure: 0.021 eV/atom.


Entry a
VASP calculation (GGA-PBE) on a geometry-optimized DyPuInRu structure.

Geometry as POSCAR:
```
DyPuInRu
1.0
3.3229 0.0000 0.0000
0.0000 3.3229 0.0000
0.0000 0.0000 8.3723
Dy Pu In Ru
1 1 1 1
Cartesian
0.0000 0.0000 0.0000
0.0000 0.0000 4.9133
1.6614 1.6614 2.4496
1.6614 1.6614 6.6226
```

Computed properties:
- Symmetry: P4mm, No. 99
- Theoretical density: 11.18 g/cm3


Entry b
VASP calculation (GGA-PBE) on a geometry-optimized DyPuInRu structure.

Geometry as POSCAR:
```
DyPuInRu
1.0
0.0000 3.5797 3.5797
3.5797 0.0000 3.5797
3.5797 3.5797 0.0000
Dy Pu In Ru
1 1 1 1
Cartesian
0.0000 0.0000 0.0000
3.5797 3.5797 3.5797
5.3696 5.3696 5.3696
1.7899 1.7899 1.7899
```

Computed properties:
- Symmetry: F-43m, No. 216
- Theoretical density: 11.26 g/cm3


Preferred: entry a; penalty for the next structure: 0.185 eV/atom.


Entry a
VASP calculation (GGA-PBE) on a geometry-optimized Dy3InRh structure.

Geometry as POSCAR:
```
Dy3InRh
1.0
7.3935 -5.3360 0.0000
7.3935 5.3360 0.0000
0.0000 0.0000 7.2056
Dy In Rh
12 4 4
Cartesian
1.9354 0.0000 0.0000
1.9354 0.0000 3.6028
5.2809 1.7847 3.6527
5.2809 1.7847 7.1557
9.5062 1.7847 3.6527
9.5062 1.7847 7.1557
5.2809 -1.7847 0.0499
5.2809 -1.7847 3.5529
9.5062 -1.7847 0.0499
9.5062 -1.7847 3.5529
12.8516 0.0000 0.0000
12.8516 0.0000 3.6028
7.3935 3.4012 1.8014
7.3935 0.0433 1.8014
7.3935 -0.0433 5.4042
7.3935 -3.4012 5.4042
3.2562 1.5816 1.8014
3.2562 -1.5816 5.4042
11.5308 1.5816 1.8014
11.5308 -1.5816 5.4042
```

Computed properties:
- Symmetry: Cmcm, No. 63
- Theoretical density: 8.24 g/cm3


Entry b
VASP calculation (GGA-PBE) on a geometry-optimized Dy3InRh structure.

Geometry as POSCAR:
```
Dy3InRh
1.0
5.9380 -2.7339 0.0000
5.9380 2.7339 0.0000
-3.4714 0.0000 8.3677
Dy In Rh
6 2 2
Cartesian
0.5383 0.0000 1.9130
-0.4140 0.0000 5.4773
4.2728 0.0000 0.8171
4.1317 0.0000 7.5506
8.8185 0.0000 2.8904
7.8662 0.0000 6.4547
2.7487 0.0000 4.5618
5.6558 0.0000 3.8058
-1.6321 0.0000 7.8964
10.0366 0.0000 0.4713
```

Computed properties:
- Symmetry: C2/m, No. 12
- Theoretical density: 8.62 g/cm3


Preferred: entry b; penalty for the next structure: 0.071 eV/atom.


Entry a
VASP calculation (GGA-PBE) on a geometry-optimized Dy2InRh structure.

Geometry as POSCAR:
```
Dy2InRh
1.0
1.9050 1.0998 8.3262
-1.9050 1.0998 8.3262
0.0000 -2.1997 8.3262
Dy In Rh
2 1 1
Cartesian
0.0000 0.0000 5.8434
0.0000 0.0000 19.1352
0.0000 0.0000 0.0000
0.0000 0.0000 12.4893
```

Computed properties:
- Symmetry: R-3m, No. 166
- Theoretical density: 8.61 g/cm3


Entry b
VASP calculation (GGA-PBE) on a geometry-optimized Dy2InRh structure.

Geometry as POSCAR:
```
Dy2InRh
1.0
0.0000 3.6033 3.6033
3.6033 0.0000 3.6033
3.6033 3.6033 0.0000
Dy In Rh
2 1 1
Cartesian
1.8016 1.8016 1.8016
5.4049 5.4049 5.4049
0.0000 0.0000 0.0000
3.6033 3.6033 3.6033
```

Computed properties:
- Symmetry: Fm-3m, No. 225
- Theoretical density: 9.63 g/cm3


Preferred: entry b; penalty for the next structure: 0.027 eV/atom.


Entry a
VASP calculation (GGA-PBE) on a geometry-optimized Dy6In2Rh structure.

Geometry as POSCAR:
```
Dy6In2Rh
1.0
-2.5469 3.6235 7.4348
2.5469 -3.6235 7.4348
2.5469 3.6235 -7.4348
Dy In Rh
6 2 1
Cartesian
2.5469 1.7392 -2.2989
0.0000 1.6474 0.0000
2.5469 1.7392 2.2989
0.0000 1.8843 5.1359
0.0000 5.5996 0.0000
0.0000 1.8843 9.7337
2.5469 0.0000 4.9443
0.0000 3.6235 2.4905
2.5469 0.0000 0.0000
```

Computed properties:
- Symmetry: Immm, No. 71
- Theoretical density: 7.91 g/cm3


Entry b
VASP calculation (GGA-PBE) on a geometry-optimized Dy6In2Rh structure.

Geometry as POSCAR:
```
Dy6In2Rh
1.0
3.8020 0.0000 0.0000
0.0000 7.5065 4.3359
0.0000 -7.5065 4.3359
Dy In Rh
6 2 1
Cartesian
0.0000 0.0000 0.0000
0.0000 -1.8234 5.5075
0.0000 1.8234 5.5075
1.9010 -4.5487 3.9360
1.9010 0.0000 3.1410
1.9010 4.5487 3.9360
0.0000 -2.5037 2.2273
0.0000 2.5037 2.2273
1.9010 0.0000 6.5663
```

Computed properties:
- Symmetry: Amm2, No. 38
- Theoretical density: 8.77 g/cm3


Preferred: entry b; penalty for the next structure: 0.188 eV/atom.


Entry a
VASP calculation (GGA-PBE) on a geometry-optimized TbDyInRh structure.

Geometry as POSCAR:
```
TbDyInRh
1.0
0.0000 3.6115 3.6115
3.6115 0.0000 3.6115
3.6115 3.6115 0.0000
Tb Dy In Rh
1 1 1 1
Cartesian
0.0000 0.0000 0.0000
3.6115 3.6115 3.6115
5.4173 5.4173 5.4173
1.8058 1.8058 1.8058
```

Computed properties:
- Symmetry: F-43m, No. 216
- Theoretical density: 9.50 g/cm3


Entry b
VASP calculation (GGA-PBE) on a geometry-optimized TbDyInRh structure.

Geometry as POSCAR:
```
TbDyInRh
1.0
3.5376 0.0000 0.0000
0.0000 3.5376 0.0000
0.0000 0.0000 7.5335
Tb Dy In Rh
1 1 1 1
Cartesian
0.0000 0.0000 0.0000
0.0000 0.0000 4.2602
1.7688 1.7688 2.1411
1.7688 1.7688 5.8752
```

Computed properties:
- Symmetry: P4mm, No. 99
- Theoretical density: 9.50 g/cm3


Preferred: entry b; penalty for the next structure: 0.119 eV/atom.


Entry a
VASP calculation (GGA-PBE) on a geometry-optimized DyTmInRh structure.

Geometry as POSCAR:
```
DyTmInRh
1.0
0.0000 3.5796 3.5796
3.5796 0.0000 3.5796
3.5796 3.5796 0.0000
Dy Tm In Rh
1 1 1 1
Cartesian
0.0000 0.0000 0.0000
3.5796 3.5796 3.5796
5.3695 5.3695 5.3695
1.7898 1.7898 1.7898
```

Computed properties:
- Symmetry: F-43m, No. 216
- Theoretical density: 9.94 g/cm3


Entry b
VASP calculation (GGA-PBE) on a geometry-optimized DyTmInRh structure.

Geometry as POSCAR:
```
DyTmInRh
1.0
3.5034 0.0000 0.0000
0.0000 3.5034 0.0000
0.0000 0.0000 7.4908
Dy Tm In Rh
1 1 1 1
Cartesian
0.0000 0.0000 0.0000
0.0000 0.0000 4.2435
1.7517 1.7517 2.1531
1.7517 1.7517 5.8057
```

Computed properties:
- Symmetry: P4mm, No. 99
- Theoretical density: 9.92 g/cm3


Preferred: entry b; penalty for the next structure: 0.121 eV/atom.


Entry a
VASP calculation (GGA-PBE) on a geometry-optimized Dy8InRu2 structure.

Geometry as POSCAR:
```
Dy8InRu2
1.0
4.3850 -6.5701 0.0000
4.3850 6.5701 0.0000
-1.2582 0.0000 5.2784
Dy In Ru
8 1 2
Cartesian
0.9994 1.7340 3.0426
4.3850 3.3023 0.0000
0.9994 -1.7340 3.0426
3.1231 0.0000 1.0529
4.3888 0.0000 4.2255
6.5125 1.7340 2.2358
4.3850 -3.3023 0.0000
6.5125 -1.7340 2.2358
0.0000 0.0000 0.0000
3.7559 2.4582 2.6392
3.7559 -2.4582 2.6392
```

Computed properties:
- Symmetry: C2/m, No. 12
- Theoretical density: 8.83 g/cm3


Entry b
VASP calculation (GGA-PBE) on a geometry-optimized Dy8InRu2 structure.

Geometry as POSCAR:
```
Dy8InRu2
1.0
8.7045 -2.6503 0.0000
8.7045 2.6503 0.0000
-2.7294 0.0000 6.3334
Dy In Ru
8 1 2
Cartesian
0.0000 0.0000 0.0000
1.5026 0.0000 3.3698
3.3835 0.0000 0.7035
5.1238 0.0000 3.9500
7.9899 0.0000 1.6793
8.2933 0.0000 5.3210
11.8468 0.0000 4.3636
13.9349 0.0000 1.2317
-1.5342 0.0000 3.5782
3.1961 0.0000 5.8459
10.9796 0.0000 1.6934
```

Computed properties:
- Symmetry: Cm, No. 8
- Theoretical density: 9.19 g/cm3


Preferred: entry a; penalty for the next structure: 0.007 eV/atom.


Entry a
VASP calculation (GGA-PBE) on a geometry-optimized Dy3In2Ru structure.

Geometry as POSCAR:
```
Dy3In2Ru
1.0
2.5430 -7.6021 0.0000
2.5430 7.6021 0.0000
0.0000 0.0000 7.5109
Dy In Ru
6 4 2
Cartesian
0.0000 0.0000 1.7630
0.0000 0.0000 5.7479
2.5430 2.6633 1.6631
2.5430 2.6633 5.8478
2.5430 -2.6633 1.6631
2.5430 -2.6633 5.8478
2.5430 5.0919 3.7554
2.5430 0.0000 0.0000
2.5430 0.0000 3.7554
2.5430 -5.0919 3.7554
2.5430 5.1638 0.0000
2.5430 -5.1638 0.0000
```

Computed properties:
- Symmetry: Cmmm, No. 65
- Theoretical density: 9.36 g/cm3


Entry b
VASP calculation (GGA-PBE) on a geometry-optimized Dy3In2Ru structure.

Geometry as POSCAR:
```
Dy3In2Ru
1.0
3.9054 -5.2576 0.0000
3.9054 5.2576 0.0000
-1.2600 0.0000 7.8942
Dy In Ru
6 4 2
Cartesian
0.7725 1.8864 6.1155
1.0951 0.0000 1.2942
0.7725 -1.8864 6.1155
5.7782 1.8864 1.7787
5.4556 0.0000 6.6000
5.7782 -1.8864 1.7787
-0.6300 0.0000 3.9471
3.2754 1.4372 3.9471
3.9054 0.0000 0.0000
3.2754 -1.4372 3.9471
3.9054 2.9405 0.0000
3.9054 -2.9405 0.0000
```

Computed properties:
- Symmetry: C2/m, No. 12
- Theoretical density: 8.38 g/cm3


Preferred: entry a; penalty for the next structure: 0.156 eV/atom.


Entry a
VASP calculation (GGA-PBE) on a geometry-optimized DyTmInRu structure.

Geometry as POSCAR:
```
DyTmInRu
1.0
0.0000 3.5545 3.5545
3.5545 0.0000 3.5545
3.5545 3.5545 0.0000
Dy Tm In Ru
1 1 1 1
Cartesian
0.0000 0.0000 0.0000
3.5545 3.5545 3.5545
5.3317 5.3317 5.3317
1.7772 1.7772 1.7772
```

Computed properties:
- Symmetry: F-43m, No. 216
- Theoretical density: 10.12 g/cm3


Entry b
VASP calculation (GGA-PBE) on a geometry-optimized DyTmInRu structure.

Geometry as POSCAR:
```
DyTmInRu
1.0
3.4325 0.0000 0.0000
0.0000 3.4325 0.0000
0.0000 0.0000 7.7759
Dy Tm In Ru
1 1 1 1
Cartesian
0.0000 0.0000 0.0000
0.0000 0.0000 4.4958
1.7162 1.7162 2.2774
1.7162 1.7162 6.0937
```

Computed properties:
- Symmetry: P4mm, No. 99
- Theoretical density: 9.92 g/cm3


Preferred: entry b; penalty for the next structure: 0.137 eV/atom.


Entry a
VASP calculation (GGA-PBE) on a geometry-optimized DyYInRu structure.

Geometry as POSCAR:
```
DyYInRu
1.0
3.4801 0.0000 0.0000
0.0000 3.4801 0.0000
0.0000 0.0000 7.7117
Dy Y In Ru
1 1 1 1
Cartesian
0.0000 0.0000 0.0000
0.0000 0.0000 3.3010
1.7401 1.7401 5.5059
1.7401 1.7401 1.6270
```

Computed properties:
- Symmetry: P4mm, No. 99
- Theoretical density: 8.31 g/cm3


Entry b
VASP calculation (GGA-PBE) on a geometry-optimized DyYInRu structure.

Geometry as POSCAR:
```
DyYInRu
1.0
0.0000 3.5824 3.5824
3.5824 0.0000 3.5824
3.5824 3.5824 0.0000
Dy Y In Ru
1 1 1 1
Cartesian
0.0000 0.0000 0.0000
3.5824 3.5824 3.5824
1.7912 1.7912 1.7912
5.3736 5.3736 5.3736
```

Computed properties:
- Symmetry: F-43m, No. 216
- Theoretical density: 8.44 g/cm3


Preferred: entry a; penalty for the next structure: 0.118 eV/atom.